No. 1
The following is a PBEsol calculation of crystalline ZrCoSi2 at its relaxed geometry, from the Alexandria database.

formation energy from raw total energies = -5.8 kcal/mol of atoms
symmetry = No. 139

The structure in POSCAR format:
```
ZrCoSi2
1.0
-2.311 -1.387 2.559
2.887 -0.674 2.242
-0.705 4.809 -0.728
Si Co Zr
2 1 1
Cartesian
-1.364 1.196 2.116
1.235 1.553 1.957
0.000 0.000 0.000
0.288 -1.030 2.401
```


No. 2
The following is a PBEsol calculation of crystalline ZrCo2Si at its relaxed geometry, from the Alexandria database.

formation energy from raw total energies = -9.0 kcal/mol of atoms
symmetry = No. 119

The structure in POSCAR format:
```
ZrCo2Si
1.0
-2.161 -1.653 -2.354
2.297 -2.764 -0.168
-2.013 0.406 4.312
Co Zr Si
2 1 1
Cartesian
0.000 0.000 0.000
-2.053 -1.728 0.348
0.176 -2.283 1.441
0.068 -2.208 -1.261
```


| no. | volume (Å³ per atom) | theoretical density (g/cm³) |
| --- | --- | --- |
| 1 | 14.3 | 5.97 |
| 2 | 13.1 | 7.53 |